# 1
Crystalline YPd2O4 at its relaxed geometry. Source: Alexandria, functional PBE.

calculated total energy = -95.47 eV/cell
ΔE to the lowest computed polymorph = 0.00 eV/f.u.

Geometry as CIF:
```
data_YPd2O4
_space_group_name_H-M_alt 'P 1'
_space_group_IT_number 1
_space_group_name_Hall 'P 1'
_cell_length_a 6.520
_cell_length_b 6.520
_cell_length_c 6.520
_cell_angle_alpha 126.94
_cell_angle_beta 126.94
_cell_angle_gamma 78.34
loop_
_atom_site_label
_atom_site_type_symbol
_atom_site_fract_x
_atom_site_fract_y
_atom_site_fract_z
Y1 Y 0.375 0.125 0.250
Y2 Y 0.625 0.875 0.750
Pd1 Pd 0.000 0.000 0.500
Pd2 Pd 0.000 0.500 0.000
Pd3 Pd 0.000 0.500 0.500
Pd4 Pd 0.500 0.500 0.000
O1 O 0.020 0.117 0.282
O2 O 0.238 0.520 0.403
O3 O 0.335 0.738 0.218
O4 O 0.383 0.165 0.903
O5 O 0.617 0.835 0.097
O6 O 0.665 0.262 0.782
O7 O 0.762 0.480 0.597
O8 O 0.980 0.883 0.718
```



# 2
Crystalline Pm8SmTh3 at its relaxed geometry. Source: Alexandria, functional PBE.

energy of formation = 63.8 kJ/mol of formula units
calculated total energy = -64.32 eV/cell

Geometry as CIF:
```
data_Pm8SmTh3
_space_group_name_H-M_alt 'P 1'
_space_group_IT_number 1
_space_group_name_Hall 'P 1'
_cell_length_a 6.275
_cell_length_b 6.304
_cell_length_c 10.876
_cell_angle_alpha 73.37
_cell_angle_beta 84.53
_cell_angle_gamma 80.28
loop_
_atom_site_label
_atom_site_type_symbol
_atom_site_fract_x
_atom_site_fract_y
_atom_site_fract_z
Pm1 Pm 0.005 0.335 0.166
Pm2 Pm 0.249 0.418 0.583
Pm3 Pm 0.255 0.082 0.918
Pm4 Pm 0.492 0.172 0.328
Pm5 Pm 0.508 0.828 0.672
Pm6 Pm 0.745 0.918 0.082
Pm7 Pm 0.751 0.582 0.417
Pm8 Pm 0.995 0.665 0.834
Sm1 Sm 0.000 0.000 0.500
Th1 Th 0.254 0.745 0.248
Th2 Th 0.500 0.500 0.000
Th3 Th 0.746 0.255 0.752
```



Among the records above, which one has the lowest calculated total energy?
YPd2O4